# 1
DFT (GGA-PBEsol) results for a relaxed Ni2As crystal.

Cell: 2.722 3.984 3.984 Å, 120.00 90.00 90.00°
Sites, in units of the cell vectors:
Ni 0.500 0.667 0.333
As 0.000 0.000 0.000
Ni 0.500 0.333 0.667

Computed properties:
spin magnetization: 0.201 μB per atom

=====

# 2
DFT (GGA-PBEsol) results for a relaxed Ni3As crystal.

Cell: 4.268 6.428 6.884 Å, 90.00 90.00 90.00°
Sites, in units of the cell vectors:
Ni 0.079 0.028 0.750
As 0.432 0.123 0.250
Ni 0.925 0.682 0.566
As 0.568 0.877 0.750
Ni 0.075 0.318 0.066
As 0.932 0.377 0.750
Ni 0.075 0.318 0.434
Ni 0.575 0.182 0.566
Ni 0.921 0.972 0.250
Ni 0.425 0.818 0.066
Ni 0.579 0.472 0.250
Ni 0.575 0.182 0.934
Ni 0.925 0.682 0.934
Ni 0.425 0.818 0.434
As 0.068 0.623 0.250
Ni 0.421 0.528 0.750

Computed properties:
spin magnetization: 0.000 μB per atom

=====

no.,energy of formation (eV/atom),N(E_F) (states/eV per cell),calculated density (g/cm3)
1,0.196,3.82,8.5
2,-0.170,8.80,8.8